Crystalline Al2VO at its relaxed geometry, computed with GGA+U.

The space group is I-42d (No. 122) and the conventional cell measures 6.0881, 6.0881 and 6.6024 Å, with angles of 90.00, 90.00 and 90.00 degrees. Symmetry generates all atoms from Al at (0.1464, 0.7500, 0.1250), V at (0.0000, 0.0000, 0.5000) and O at (0.0000, 0.0000, 0.0000).

The total magnetization is 3.53 μB per formula unit. The calculation puts the distance to the lowest polymorph of the same formula at 0.00 eV per formula unit. Its total energy is -5.32 eV per atom. The density of states at the Fermi level is 2.1 states/eV/f.u.